This record from the Alexandria database describes TbPmSm3Dy after structural relaxation. The functional is PBE-GGA.

* DOS(E_F): 16.92 states/eV per cell
* electronic total energy: -4.675 eV per atom
* total magnetization: 0.00 μB per cell
* SG: No. 63
* E_form: 0.015 eV/atom

abc: 8.066 8.066 10.206
angles: 90.00 90.00 143.21
Element x y z (fractional)
1 Tb 0.167 0.833 0.750
2 Tb 0.833 0.167 0.250
3 Pm 0.499 0.501 0.250
4 Pm 0.501 0.499 0.750
5 Sm 0.167 0.833 0.250
6 Sm 0.334 0.666 0.000
7 Sm 0.334 0.666 0.500
8 Sm 0.666 0.334 0.000
9 Sm 0.666 0.334 0.500
10 Sm 0.833 0.167 0.750
11 Dy 0.000 0.000 0.000
12 Dy 0.000 0.000 0.500

=====

This record from the Alexandria database describes TbPmSm2Dy4 after structural relaxation. The functional is PBE-GGA.

* DOS(E_F): 34.74 states/eV per cell
* electronic total energy: -4.232 eV per atom
* total magnetization: 6.87 μB per cell
* SG: No. 74
* E_form: 0.421 eV/atom

abc: 9.528 9.528 9.528
angles: 138.00 103.30 91.54
Element x y z (fractional)
1 Tb 0.500 0.000 0.000
2 Tb 0.500 0.500 0.500
3 Pm 0.000 0.000 0.000
4 Pm 0.500 0.000 0.500
5 Sm 0.000 0.000 0.500
6 Sm 0.000 0.500 0.000
7 Sm 0.000 0.500 0.500
8 Sm 0.500 0.500 0.000
9 Dy 0.251 0.750 0.502
10 Dy 0.252 0.250 0.002
11 Dy 0.252 0.252 0.500
12 Dy 0.252 0.751 0.000
13 Dy 0.748 0.249 0.000
14 Dy 0.748 0.748 0.500
15 Dy 0.748 0.750 0.998
16 Dy 0.749 0.250 0.498

=====

This record from the Alexandria database describes TbPm2Sm6Dy3 after structural relaxation. The functional is PBE-GGA.

* DOS(E_F): 15.62 states/eV per cell
* electronic total energy: -4.674 eV per atom
* total magnetization: 0.00 μB per cell
* SG: No. 12
* E_form: 0.014 eV/atom

abc: 6.246 6.246 11.937
angles: 95.00 95.00 119.98
Element x y z (fractional)
1 Tb 0.000 0.000 0.000
2 Pm 0.333 0.667 0.000
3 Pm 0.667 0.333 0.000
4 Sm 0.084 0.417 0.252
5 Sm 0.249 0.249 0.748
6 Sm 0.417 0.084 0.252
7 Sm 0.583 0.916 0.748
8 Sm 0.751 0.751 0.252
9 Sm 0.916 0.583 0.748
10 Dy 0.167 0.833 0.500
11 Dy 0.500 0.500 0.500
12 Dy 0.833 0.167 0.500

=====

This record from the Alexandria database describes Tb2Pm6Sm3Dy after structural relaxation. The functional is PBE-GGA.

* DOS(E_F): 15.99 states/eV per cell
* electronic total energy: -4.698 eV per atom
* total magnetization: 0.00 μB per cell
* SG: No. 12
* E_form: 0.013 eV/atom

abc: 6.277 6.277 11.980
angles: 95.01 95.01 119.99
Element x y z (fractional)
1 Tb 0.167 0.833 0.000
2 Tb 0.833 0.167 0.000
3 Pm 0.084 0.417 0.752
4 Pm 0.250 0.250 0.248
5 Pm 0.417 0.084 0.752
6 Pm 0.583 0.916 0.248
7 Pm 0.750 0.750 0.752
8 Pm 0.916 0.583 0.248
9 Sm 0.000 0.000 0.500
10 Sm 0.333 0.667 0.500
11 Sm 0.667 0.333 0.500
12 Dy 0.500 0.500 0.000

=====

This record from the Alexandria database describes Tb3Pm6SmDy2 after structural relaxation. The functional is PBE-GGA.

* DOS(E_F): 14.86 states/eV per cell
* electronic total energy: -4.681 eV per atom
* total magnetization: 0.00 μB per cell
* SG: No. 12
* E_form: 0.012 eV/atom

abc: 6.256 6.256 11.916
angles: 95.01 95.01 119.99
Element x y z (fractional)
1 Tb 0.000 0.000 0.000
2 Tb 0.333 0.667 0.000
3 Tb 0.667 0.333 0.000
4 Pm 0.082 0.416 0.250
5 Pm 0.250 0.250 0.750
6 Pm 0.416 0.082 0.250
7 Pm 0.584 0.918 0.750
8 Pm 0.750 0.750 0.250
9 Pm 0.918 0.584 0.750
10 Sm 0.500 0.500 0.500
11 Dy 0.167 0.833 0.500
12 Dy 0.833 0.167 0.500

=====

This record from the Alexandria database describes TbPmSm2Dy6 after structural relaxation. The functional is PBE-GGA.

* DOS(E_F): 28.76 states/eV per cell
* electronic total energy: -4.525 eV per atom
* total magnetization: 0.00 μB per cell
* SG: No. 15
* E_form: 0.118 eV/atom

abc: 8.790 8.790 9.684
angles: 94.38 94.38 118.01
Element x y z (fractional)
1 Tb 0.092 0.908 0.750
2 Tb 0.908 0.092 0.250
3 Pm 0.480 0.520 0.250
4 Pm 0.520 0.480 0.750
5 Sm 0.203 0.305 0.957
6 Sm 0.305 0.203 0.457
7 Sm 0.695 0.797 0.543
8 Sm 0.797 0.695 0.043
9 Dy 0.006 0.794 0.380
10 Dy 0.072 0.521 0.185
11 Dy 0.206 0.994 0.120
12 Dy 0.244 0.623 0.557
13 Dy 0.377 0.756 0.943
14 Dy 0.479 0.928 0.315
15 Dy 0.521 0.072 0.685
16 Dy 0.623 0.244 0.057
17 Dy 0.756 0.377 0.443
18 Dy 0.794 0.006 0.880
19 Dy 0.928 0.479 0.815
20 Dy 0.994 0.206 0.620

=====

This record from the Alexandria database describes Tb4Pm2SmDy2 after structural relaxation. The functional is PBE-GGA.

* DOS(E_F): 11.86 states/eV per cell
* electronic total energy: -4.663 eV per atom
* total magnetization: 0.00 μB per cell
* SG: No. 12
* E_form: -0.003 eV/atom

abc: 9.556 9.556 9.606
angles: 115.23 115.23 21.80
Element x y z (fractional)
1 Tb 0.019 0.019 0.336
2 Tb 0.314 0.314 0.665
3 Tb 0.686 0.686 0.335
4 Tb 0.981 0.981 0.664
5 Pm 0.167 0.167 0.000
6 Pm 0.833 0.833 0.000
7 Sm 0.500 0.500 0.000
8 Dy 0.353 0.353 0.336
9 Dy 0.647 0.647 0.664

=====

This record from the Alexandria database describes Tb6Pm2SmDy after structural relaxation. The functional is PBE-GGA.

* DOS(E_F): 28.51 states/eV per cell
* electronic total energy: -4.544 eV per atom
* total magnetization: 0.00 μB per cell
* SG: No. 15
* E_form: 0.116 eV/atom

abc: 8.814 8.814 9.725
angles: 94.45 94.45 118.06
Element x y z (fractional)
1 Tb 0.020 0.573 0.186
2 Tb 0.123 0.745 0.557
3 Tb 0.255 0.877 0.943
4 Tb 0.294 0.505 0.380
5 Tb 0.427 0.980 0.314
6 Tb 0.495 0.706 0.120
7 Tb 0.505 0.294 0.880
8 Tb 0.573 0.020 0.686
9 Tb 0.706 0.495 0.620
10 Tb 0.745 0.123 0.057
11 Tb 0.877 0.255 0.443
12 Tb 0.980 0.427 0.814
13 Pm 0.195 0.297 0.043
14 Pm 0.297 0.195 0.543
15 Pm 0.703 0.805 0.457
16 Pm 0.805 0.703 0.957
17 Sm 0.019 0.981 0.250
18 Sm 0.981 0.019 0.750
19 Dy 0.407 0.593 0.750
20 Dy 0.593 0.407 0.250

=====

This record from the Alexandria database describes Tb2Pm4SmDy2 after structural relaxation. The functional is PBE-GGA.

* DOS(E_F): 13.03 states/eV per cell
* electronic total energy: -4.672 eV per atom
* total magnetization: 0.00 μB per cell
* SG: No. 12
* E_form: 0.016 eV/atom

abc: 8.064 8.064 8.051
angles: 107.49 107.49 36.80
Element x y z (fractional)
1 Tb 0.111 0.111 0.168
2 Tb 0.889 0.889 0.832
3 Pm 0.223 0.223 0.832
4 Pm 0.445 0.445 0.168
5 Pm 0.555 0.555 0.832
6 Pm 0.777 0.777 0.168
7 Sm 0.000 0.000 0.500
8 Dy 0.332 0.332 0.501
9 Dy 0.668 0.668 0.499

=====

This record from the Alexandria database describes Tb5PmSmDy2 after structural relaxation. The functional is PBE-GGA.

* DOS(E_F): 23.88 states/eV per cell
* electronic total energy: -4.362 eV per atom
* total magnetization: 0.00 μB per cell
* SG: No. 140
* E_form: 0.286 eV/atom

abc: 9.754 9.754 9.754
angles: 125.60 125.60 80.54
Element x y z (fractional)
1 Tb 0.000 0.000 0.000
2 Tb 0.071 0.571 0.908
3 Tb 0.163 0.071 0.500
4 Tb 0.337 0.837 0.908
5 Tb 0.429 0.337 0.500
6 Tb 0.500 0.500 0.000
7 Tb 0.571 0.663 0.500
8 Tb 0.663 0.163 0.092
9 Tb 0.837 0.929 0.500
10 Tb 0.929 0.429 0.092
11 Pm 0.250 0.250 0.000
12 Pm 0.750 0.750 0.000
13 Sm 0.250 0.750 0.500
14 Sm 0.750 0.250 0.500
15 Dy 0.114 0.386 0.500
16 Dy 0.386 0.886 0.272
17 Dy 0.614 0.114 0.728
18 Dy 0.886 0.614 0.500

=====

This record from the Alexandria database describes Tb2PmSm4Dy after structural relaxation. The functional is PBE-GGA.

* DOS(E_F): 11.26 states/eV per cell
* electronic total energy: -4.670 eV per atom
* total magnetization: 0.00 μB per cell
* SG: No. 10
* E_form: 0.016 eV/atom

abc: 6.234 3.609 11.949
angles: 90.00 100.19 90.00
Element x y z (fractional)
1 Tb 0.000 0.000 0.000
2 Tb 0.000 0.500 0.500
3 Pm 0.500 0.000 0.500
4 Sm 0.249 0.500 0.248
5 Sm 0.250 0.000 0.751
6 Sm 0.750 0.000 0.249
7 Sm 0.751 0.500 0.752
8 Dy 0.500 0.500 0.000

=====

This record from the Alexandria database describes Tb3PmSm2Dy6 after structural relaxation. The functional is PBE-GGA.

* DOS(E_F): 15.22 states/eV per cell
* electronic total energy: -4.626 eV per atom
* total magnetization: 0.00 μB per cell
* SG: No. 12
* E_form: 0.015 eV/atom

abc: 6.183 6.183 11.813
angles: 94.98 94.98 119.96
Element x y z (fractional)
1 Tb 0.000 0.000 0.000
2 Tb 0.333 0.667 0.000
3 Tb 0.667 0.333 0.000
4 Pm 0.500 0.500 0.500
5 Sm 0.167 0.833 0.500
6 Sm 0.833 0.167 0.500
7 Dy 0.082 0.415 0.248
8 Dy 0.251 0.251 0.752
9 Dy 0.415 0.082 0.248
10 Dy 0.585 0.918 0.752
11 Dy 0.749 0.749 0.248
12 Dy 0.918 0.585 0.752